w | A geometry-optimized CaTaW2 structure, computed with GGA-PBE.

Structure (CIF):
```
data_CaTaW2
_cell_length_a 2.8870
_cell_length_b 2.8870
_cell_length_c 31.3874
_cell_angle_alpha 90.00
_cell_angle_beta 90.00
_cell_angle_gamma 120.00
_space_group_name_H-M_alt 'R -3 m'
_space_group_IT_number 166
_space_group_name_Hall '-R 3 2"'
loop_
_atom_site_label
_atom_site_fract_x
_atom_site_fract_y
_atom_site_fract_z
Ca1 0.0000 0.0000 0.0000
Ta1 0.0000 0.0000 0.5000
W1 0.0000 0.0000 0.2461
```

Computed properties:
- ρ: 12.9 g cm⁻³

---

x | A geometry-optimized CaTaW2 structure, computed with GGA-PBE.

Structure (CIF):
```
data_CaTaW2
_cell_length_a 2.7462
_cell_length_b 2.7462
_cell_length_c 10.1706
_cell_angle_alpha 90.00
_cell_angle_beta 90.00
_cell_angle_gamma 90.00
_space_group_name_H-M_alt 'P 4 m m'
_space_group_IT_number 99
_space_group_name_Hall 'P 4 -2'
loop_
_atom_site_label
_atom_site_fract_x
_atom_site_fract_y
_atom_site_fract_z
Ca1 0.0000 0.0000 0.0000
Ta1 0.5000 0.5000 0.2880
W1 0.0000 0.0000 0.5140
W2 0.5000 0.5000 0.7383
```

Computed properties:
- ρ: 12.7 g cm⁻³

---

y | A geometry-optimized CaTaW2 structure, computed with GGA-PBE.

Structure (CIF):
```
data_CaTaW2
_cell_length_a 5.7525
_cell_length_b 9.6114
_cell_length_c 2.7116
_cell_angle_alpha 90.00
_cell_angle_beta 90.00
_cell_angle_gamma 90.00
_space_group_name_H-M_alt 'C m m m'
_space_group_IT_number 65
_space_group_name_Hall '-C 2 2'
loop_
_atom_site_label
_atom_site_fract_x
_atom_site_fract_y
_atom_site_fract_z
Ca1 0.0000 0.0000 0.0000
Ta1 0.0000 0.5000 0.0000
W1 0.2500 0.2500 0.5000
```

Computed properties:
- ρ: 13.0 g cm⁻³

---

z | A geometry-optimized CaTaW2 structure, computed with GGA-PBE.

Structure (CIF):
```
data_CaTaW2
_cell_length_a 3.2639
_cell_length_b 4.7160
_cell_length_c 9.9367
_cell_angle_alpha 90.00
_cell_angle_beta 90.00
_cell_angle_gamma 90.00
_space_group_name_H-M_alt 'C m m 2'
_space_group_IT_number 35
_space_group_name_Hall 'C 2 -2'
loop_
_atom_site_label
_atom_site_fract_x
_atom_site_fract_y
_atom_site_fract_z
Ca1 0.0000 0.0000 0.0000
Ta1 0.0000 0.5000 0.2942
W1 0.0000 0.0000 0.5187
W2 0.0000 0.5000 0.7323
```

Computed properties:
- ρ: 12.8 g cm⁻³

---

Which is the most stable structure? z is the most stable.